# 1
The following is a PBE-GGA calculation of an optimized crystal structure of Tl12CdIn6, from the Alexandria database.

Cell: 8.308 8.308 8.308 Å, 89.53 89.53 89.53°
Sites, in units of the cell vectors:
Tl (0.812, 0.514, 0.424)
Tl (0.424, 0.812, 0.514)
Tl (0.514, 0.424, 0.812)
Tl (0.188, 0.486, 0.576)
Tl (0.576, 0.188, 0.486)
Tl (0.486, 0.576, 0.188)
Tl (0.058, 0.147, 0.381)
Tl (0.853, 0.619, 0.942)
Tl (0.619, 0.942, 0.853)
Tl (0.942, 0.853, 0.619)
Tl (0.147, 0.381, 0.058)
Tl (0.381, 0.058, 0.147)
Cd (0.000, 0.000, 0.000)
In (0.743, 0.881, 0.255)
In (0.745, 0.257, 0.119)
In (0.119, 0.745, 0.257)
In (0.257, 0.119, 0.745)
In (0.255, 0.743, 0.881)
In (0.881, 0.255, 0.743)

Computed properties:
E above lowest polymorph: 0.000 eV per formula unit
density: 9.4 Mg/m³
E_tot: -45.05 eV per cell

# 2
The following is a PBE-GGA calculation of an optimized crystal structure of Li4AcPt2, from the Alexandria database.

Cell: 4.220 7.913 7.913 Å, 90.00 90.00 90.00°
Sites, in units of the cell vectors:
Li (0.000, 0.095, 0.348)
Li (0.000, 0.905, 0.652)
Li (0.500, 0.152, 0.595)
Li (0.500, 0.848, 0.405)
Li (0.500, 0.405, 0.848)
Li (0.500, 0.595, 0.152)
Li (0.000, 0.348, 0.095)
Li (0.000, 0.652, 0.905)
Ac (0.500, 0.000, 0.000)
Ac (0.000, 0.500, 0.500)
Pt (0.000, 0.210, 0.790)
Pt (0.000, 0.790, 0.210)
Pt (0.500, 0.710, 0.710)
Pt (0.500, 0.290, 0.290)

Computed properties:
density: 8.1 Mg/m³
E_tot: -56.37 eV per cell

# 3
The following is a PBE-GGA calculation of an optimized crystal structure of Cs6Rb2Au3, from the Alexandria database.

Cell: 9.038 9.025 12.504 Å, 83.12 76.16 59.95°
Sites, in units of the cell vectors:
Cs (0.388, 0.670, 0.835)
Cs (0.718, 0.000, 0.834)
Cs (0.058, 0.330, 0.835)
Cs (0.282, 0.000, 0.166)
Cs (0.612, 0.330, 0.165)
Cs (0.942, 0.670, 0.165)
Rb (0.167, 0.666, 0.500)
Rb (0.833, 0.334, 0.500)
Au (0.000, 0.000, 0.000)
Au (0.333, 0.335, 0.000)
Au (0.667, 0.665, 0.000)

Computed properties:
density: 3.0 Mg/m³
E_tot: -18.71 eV per cell

# 4
The following is a PBE-GGA calculation of an optimized crystal structure of Al3TcO, from the Alexandria database.

Cell: 4.722 4.722 4.722 Å, 90.00 90.00 90.00°
Site moments in Bohr magnetons follow the coordinates.
Sites, in units of the cell vectors:
Tc (0.000, 0.000, 0.000)  0.20
O (0.500, 0.500, 0.500)  0.94
Al (0.000, 0.500, 0.000)  0.02
Al (0.000, 0.000, 0.500)  -0.01
Al (0.500, 0.000, 0.000)  0.02

Computed properties:
E above lowest polymorph: 6.100 eV per formula unit
density: 3.1 Mg/m³
E_tot: -23.52 eV per cell

# 5
The following is a PBE-GGA calculation of an optimized crystal structure of Sm3MgIr3, from the Alexandria database.

Cell: 4.314 5.631 13.954 Å, 90.00 90.00 112.52°
Sites, in units of the cell vectors:
Sm (0.198, 0.397, 0.895)
Sm (0.802, 0.603, 0.105)
Sm (0.198, 0.397, 0.605)
Sm (0.802, 0.603, 0.395)
Sm (0.481, 0.962, 0.750)
Sm (0.519, 0.038, 0.250)
Mg (0.500, 0.000, 0.000)
Mg (0.500, 0.000, 0.500)
Ir (0.907, 0.814, 0.907)
Ir (0.093, 0.186, 0.093)
Ir (0.907, 0.814, 0.593)
Ir (0.093, 0.186, 0.407)
Ir (0.762, 0.525, 0.750)
Ir (0.238, 0.475, 0.250)

Computed properties:
density: 11.2 Mg/m³
E_tot: -94.22 eV per cell

# 6
The following is a PBE-GGA calculation of an optimized crystal structure of NaTb2AgS4, from the Alexandria database.

Cell: 7.994 7.994 7.886 Å, 119.55 119.55 90.35°
Sites, in units of the cell vectors:
Na (0.000, 0.500, 0.000)
Na (0.000, 0.500, 0.500)
Tb (0.500, 0.000, 0.000)
Tb (0.500, 0.000, 0.500)
Tb (0.000, 0.000, 0.500)
Tb (0.500, 0.500, 0.000)
Ag (0.500, 0.500, 0.500)
Ag (0.000, 0.000, 0.000)
S (0.269, 0.755, 0.012)
S (0.745, 0.231, 0.488)
S (0.255, 0.769, 0.512)
S (0.731, 0.245, 0.988)
S (0.745, 0.756, 0.008)
S (0.744, 0.755, 0.492)
S (0.256, 0.245, 0.508)
S (0.255, 0.244, 0.992)

Computed properties:
density: 5.3 Mg/m³
E_tot: -84.81 eV per cell

# 7
The following is a PBE-GGA calculation of an optimized crystal structure of Li11Tl3, from the Alexandria database.

Cell: 4.532 8.352 8.352 Å, 58.46 74.26 74.26°
Sites, in units of the cell vectors:
Li (0.000, 0.500, 0.500)
Li (0.500, 0.269, 0.731)
Li (0.500, 0.731, 0.269)
Li (0.690, 0.958, 0.662)
Li (0.310, 0.042, 0.338)
Li (0.690, 0.662, 0.958)
Li (0.310, 0.338, 0.042)
Li (0.866, 0.868, 0.401)
Li (0.134, 0.132, 0.599)
Li (0.866, 0.401, 0.868)
Li (0.134, 0.599, 0.132)
Tl (0.000, 0.000, 0.000)
Tl (0.682, 0.318, 0.318)
Tl (0.318, 0.682, 0.682)

Computed properties:
density: 4.5 Mg/m³
E_tot: -29.59 eV per cell

# 8
The following is a PBE-GGA calculation of an optimized crystal structure of Rb3HoTh2Se6, from the Alexandria database.

Cell: 7.372 7.372 8.474 Å, 98.34 98.34 119.99°
Sites, in units of the cell vectors:
Rb (0.168, 0.832, 0.500)
Rb (0.832, 0.168, 0.500)
Rb (0.500, 0.500, 0.500)
Ho (0.000, 0.000, 0.000)
Th (0.334, 0.666, 0.000)
Th (0.666, 0.334, 0.000)
Se (0.932, 0.605, 0.797)
Se (0.740, 0.740, 0.203)
Se (0.068, 0.395, 0.203)
Se (0.605, 0.932, 0.797)
Se (0.260, 0.260, 0.797)
Se (0.395, 0.068, 0.203)

Computed properties:
density: 5.9 Mg/m³
E_tot: -62.20 eV per cell

# 9
The following is a PBE-GGA calculation of an optimized crystal structure of Tb2NdTm9, from the Alexandria database.

Cell: 3.489 11.105 11.105 Å, 120.00 90.00 90.00°
Sites, in units of the cell vectors:
Tb (0.000, 0.333, 0.667)
Tb (0.000, 0.667, 0.333)
Nd (0.000, 0.000, 0.000)
Tm (0.000, 0.000, 0.500)
Tm (0.000, 0.500, 0.500)
Tm (0.000, 0.500, 0.000)
Tm (0.500, 0.356, 0.178)
Tm (0.500, 0.178, 0.822)
Tm (0.500, 0.178, 0.356)
Tm (0.500, 0.822, 0.644)
Tm (0.500, 0.822, 0.178)
Tm (0.500, 0.644, 0.822)

Computed properties:
E above lowest polymorph: 0.246 eV per formula unit
density: 8.8 Mg/m³
E_tot: -53.71 eV per cell

# 10
The following is a PBE-GGA calculation of an optimized crystal structure of Ho6Te3Ir2Se, from the Alexandria database.

Cell: 4.143 8.633 9.601 Å, 105.99 102.46 90.00°
Sites, in units of the cell vectors:
Ho (0.331, 0.866, 0.662)
Ho (0.675, 0.568, 0.349)
Ho (0.669, 0.134, 0.338)
Ho (0.018, 0.248, 0.037)
Ho (0.982, 0.752, 0.963)
Ho (0.325, 0.432, 0.651)
Te (0.500, 0.500, 0.000)
Te (0.841, 0.152, 0.682)
Te (0.159, 0.848, 0.318)
Ir (0.830, 0.653, 0.660)
Ir (0.170, 0.347, 0.340)
Se (0.500, 0.000, 0.000)

Computed properties:
density: 9.5 Mg/m³
E_tot: -73.12 eV per cell

# 11
The following is a PBE-GGA calculation of an optimized crystal structure of Pm3TeO7, from the Alexandria database.

Cell: 6.690 6.690 7.813 Å, 90.00 90.00 109.24°
Sites, in units of the cell vectors:
Pm (0.481, 0.481, 0.500)
Pm (0.519, 0.519, 0.000)
Pm (0.530, 0.000, 0.254)
Pm (0.470, 0.000, 0.754)
Pm (0.000, 0.530, 0.746)
Pm (0.000, 0.470, 0.246)
Te (0.999, 0.999, 0.500)
Te (0.001, 0.001, 0.000)
O (0.684, 0.936, 0.531)
O (0.316, 0.064, 0.031)
O (0.936, 0.684, 0.469)
O (0.064, 0.316, 0.969)
O (0.081, 0.329, 0.523)
O (0.919, 0.671, 0.023)
O (0.329, 0.081, 0.477)
O (0.671, 0.919, 0.977)
O (0.370, 0.630, 0.250)
O (0.630, 0.370, 0.750)
O (0.637, 0.363, 0.250)
O (0.363, 0.637, 0.750)
O (0.938, 0.062, 0.250)
O (0.062, 0.938, 0.750)

Computed properties:
density: 6.8 Mg/m³
E_tot: -163.34 eV per cell

# 12
The following is a PBE-GGA calculation of an optimized crystal structure of Sm2ErOsC2, from the Alexandria database.

Cell: 3.774 5.628 11.144 Å, 90.00 90.00 90.00°
Sites, in units of the cell vectors:
Sm (0.500, 0.054, 0.209)
Sm (0.000, 0.554, 0.291)
Sm (0.500, 0.946, 0.791)
Sm (0.000, 0.446, 0.709)
Er (0.500, 0.500, 0.000)
Er (0.000, 0.000, 0.500)
Os (0.000, 0.000, 0.000)
Os (0.500, 0.500, 0.500)
C (0.500, 0.776, 0.390)
C (0.500, 0.224, 0.610)
C (0.000, 0.724, 0.890)
C (0.000, 0.276, 0.110)

Computed properties:
density: 9.6 Mg/m³
E_tot: -88.75 eV per cell